La6In2CoOs after structural relaxation. Source: Alexandria, functional GGA-PBE.

Properties
* E_form: -243 meV per atom

Unit cell a=7.7022 b=7.7022 c=10.8614 alpha=90.00 beta=90.00 gamma=90.00
Space group I4/mmm (No. 139)
One atom of each set of equivalent atoms:
La: 0.0000 0.0000 0.2458 (multiplicity 4)
La: 0.2460 0.2460 0.0000 (multiplicity 8)
In: 0.0000 0.5000 0.2500 (multiplicity 4)
Co: 0.0000 0.0000 0.0000 (multiplicity 2)
Os: 0.0000 0.0000 0.5000 (multiplicity 2)

=====

LaInCo2P after structural relaxation. Source: Alexandria, functional GGA-PBE.

Properties
* E_form: 1499 meV per atom

Unit cell a=4.5126 b=4.5126 c=6.1916 alpha=90.00 beta=90.00 gamma=90.00
Space group P4/mmm (No. 123)
One atom of each set of equivalent atoms:
La: 0.0000 0.0000 0.0000 (multiplicity 1)
In: 0.0000 0.0000 0.5000 (multiplicity 1)
Co: 0.0000 0.5000 0.0000 (multiplicity 2)
P: 0.5000 0.5000 0.5000 (multiplicity 1)

=====

LaIn2CoPb after structural relaxation. Source: Alexandria, functional GGA-PBE.

Properties
* E_form: -282 meV per atom

Unit cell a=5.0508 b=5.0508 c=5.0949 alpha=90.00 beta=90.00 gamma=90.00
Space group P4/mmm (No. 123)
One atom of each set of equivalent atoms:
La: 0.0000 0.0000 0.0000 (multiplicity 1)
In: 0.0000 0.5000 0.5000 (multiplicity 2)
Co: 0.0000 0.0000 0.5000 (multiplicity 1)
Pb: 0.5000 0.5000 0.0000 (multiplicity 1)

=====

La4InCoPb after structural relaxation. Source: Alexandria, functional GGA-PBE.

Properties
* E_form: -354 meV per atom

Unit cell a=7.2319 b=17.3948 c=7.2093 alpha=90.00 beta=90.00 gamma=90.00
Space group Cmcm (No. 63)
One atom of each set of equivalent atoms:
La: 0.0000 0.0739 0.2500 (multiplicity 4)
La: 0.0000 0.4244 0.2500 (multiplicity 4)
La: 0.2500 0.2500 0.0000 (multiplicity 8)
In: 0.0000 0.1128 0.7500 (multiplicity 4)
Co: 0.0000 0.2432 0.2500 (multiplicity 4)
Pb: 0.0000 0.3895 0.7500 (multiplicity 4)

=====

La4Pr2In2Co after structural relaxation. Source: Alexandria, functional GGA-PBE.

Properties
* E_form: -219 meV per atom

Unit cell a=7.1922 b=7.1922 c=10.5319 alpha=90.00 beta=90.00 gamma=90.00
Space group I4/mmm (No. 139)
One atom of each set of equivalent atoms:
La: 0.2393 0.2393 0.0000 (multiplicity 8)
Pr: 0.0000 0.5000 0.2500 (multiplicity 4)
In: 0.0000 0.0000 0.2454 (multiplicity 4)
Co: 0.0000 0.0000 0.5000 (multiplicity 2)

=====

La3PrInCo after structural relaxation. Source: Alexandria, functional GGA-PBE.

Properties
* E_form: -241 meV per atom

Unit cell a=17.3681 b=7.2176 c=6.1326 alpha=90.00 beta=110.08 gamma=90.00
Space group C2/m (No. 12)
One atom of each set of equivalent atoms:
La: 0.1196 0.2441 0.1159 (multiplicity 8)
La: 0.1948 0.5000 0.7044 (multiplicity 4)
Pr: 0.0000 0.2398 0.5000 (multiplicity 4)
In: 0.1913 0.0000 0.6934 (multiplicity 4)
Co: 0.0327 0.5000 0.8515 (multiplicity 4)

=====

La2PrInCo after structural relaxation. Source: Alexandria, functional GGA-PBE.

Properties
* E_form: -250 meV per atom

Unit cell a=5.2253 b=5.2253 c=5.5195 alpha=90.00 beta=90.00 gamma=90.00
Space group P4/mmm (No. 123)
One atom of each set of equivalent atoms:
La: 0.0000 0.5000 0.0000 (multiplicity 2)
Pr: 0.0000 0.0000 0.5000 (multiplicity 1)
In: 0.5000 0.5000 0.5000 (multiplicity 1)
Co: 0.0000 0.0000 0.0000 (multiplicity 1)

=====

La6In2CoPt after structural relaxation. Source: Alexandria, functional GGA-PBE.

Properties
* E_form: -426 meV per atom

Unit cell a=7.5367 b=7.5827 c=7.7656 alpha=118.61 beta=118.04 gamma=90.22
Space group P-1 (No. 2)
One atom of each set of equivalent atoms:
La: 0.1608 0.1845 0.4709 (multiplicity 2)
La: 0.2516 0.7250 0.9981 (multiplicity 2)
La: 0.3084 0.6804 0.5136 (multiplicity 2)
In: 0.2481 0.2502 0.0025 (multiplicity 2)
Co: 0.0000 0.5000 0.5000 (multiplicity 1)
Pt: 0.5000 0.0000 0.5000 (multiplicity 1)

=====

Q: Which of these has the lowest E_form?
A: La6In2CoPt